{"formula": "Ca3CePr2Te6", "functional": "PBE-GGA", "state": "optimized geometry", "lattice_angstrom": [[4.477, 0.000, 0.000], [0.000, 9.109, 0.208], [-2.238, -2.749, 9.523]], "species": ["Te", "Te", "Te", "Ca", "Te", "Ca", "Pr", "Te", "Te", "Ce", "Ca", "Pr"], "frac_coords": [[0.001, 0.747, 0.002], [0.668, 0.080, 0.335], [0.999, 0.253, 0.998], [0.500, 0.500, 0.000], [0.332, 0.920, 0.665], [0.167, 0.834, 0.335], [0.831, 0.662, 0.663], [0.336, 0.411, 0.671], [0.664, 0.589, 0.329], [0.500, 0.000, 0.000], [0.833, 0.166, 0.665], [0.169, 0.338, 0.337]], "raw_formation_energy_ev_per_atom": -1.5019, "volume_a3_per_fu": 390.90, "mass_density_g_cm3": 5.6}



{"formula": "CaCe3Pr4Te8", "functional": "PBE-GGA", "state": "optimized geometry", "lattice_angstrom": [[9.020, 0.000, 0.000], [0.000, 9.035, 0.004], [-4.510, -4.506, 6.381]], "species": ["Pr", "Pr", "Pr", "Te", "Te", "Te", "Ce", "Te", "Ce", "Ce", "Te", "Te", "Ca", "Pr", "Te", "Te"], "frac_coords": [[0.500, 0.000, 0.000], [0.000, 0.000, 0.000], [0.500, 0.000, 0.500], [0.749, 0.747, 0.498], [0.249, 0.255, 0.002], [0.251, 0.253, 0.502], [0.000, 0.500, 0.500], [0.247, 0.745, 0.998], [0.500, 0.500, 0.000], [0.500, 0.500, 0.500], [0.247, 0.745, 0.494], [0.751, 0.745, 0.998], [0.000, 0.500, 0.000], [0.000, 0.000, 0.500], [0.753, 0.255, 0.002], [0.753, 0.255, 0.506]], "raw_formation_energy_ev_per_atom": -1.4336, "volume_a3_per_fu": 520.22, "mass_density_g_cm3": 6.5}



{"formula": "Ca3Ce3PrTe8", "functional": "PBE-GGA", "state": "optimized geometry", "lattice_angstrom": [[8.981, 0.000, 0.000], [-4.490, 7.780, -0.028], [0.000, -5.161, 7.443]], "species": ["Ce", "Te", "Pr", "Ca", "Te", "Ce", "Te", "Ca", "Te", "Te", "Ca", "Te", "Te", "Te", "Ce"], "frac_coords": [[0.500, 0.500, 0.500], [0.248, 0.497, 0.245], [0.000, 0.000, 0.500], [0.000, 0.500, 0.000], [0.253, 0.001, 0.754], [0.000, 0.500, 0.500], [0.748, 0.001, 0.754], [0.500, 0.500, 0.000], [0.253, 0.506, 0.754], [0.747, 0.494, 0.246], [0.000, 0.000, 0.000], [0.252, 0.999, 0.246], [0.752, 0.503, 0.755], [0.747, 0.999, 0.246], [0.500, 0.000, 0.500]], "raw_formation_energy_ev_per_atom": -1.4720, "volume_a3_per_fu": 518.76, "mass_density_g_cm3": 5.4}